[1]
Here is a relaxed structure of BaP2Ir from the Alexandria database. Energies are from PBE.

Geometry as CIF:
```
data_BaP2Ir
_chemical_formula_sum 'Ba2 P4 Ir2'
_symmetry_space_group_name_H-M 'I -4 m 2'
_symmetry_Int_Tables_number 119
_symmetry_space_group_name_Hall 'I -4 -2'
_cell_length_a 4.326
_cell_length_b 4.326
_cell_length_c 9.004
_cell_angle_alpha 90.00
_cell_angle_beta 90.00
_cell_angle_gamma 90.00
loop_
_atom_site_label
_atom_site_fract_x
_atom_site_fract_y
_atom_site_fract_z
Ba1 0.000 0.000 0.000
P1 0.000 0.000 0.500
P2 0.000 0.500 0.250
Ir1 0.000 0.500 0.750
```

energy relative to the elements = 590 meV per atom
final energy = -19.24 eV/f.u.

[2]
Here is a relaxed structure of Be4AgW from the Alexandria database. Energies are from PBE.

Geometry as CIF:
```
data_Be4AgW
_chemical_formula_sum 'Be16 Ag4 W4'
_symmetry_space_group_name_H-M 'F -4 3 m'
_symmetry_Int_Tables_number 216
_symmetry_space_group_name_Hall 'F -4 2 3'
_cell_length_a 6.386
_cell_length_b 6.386
_cell_length_c 6.386
_cell_angle_alpha 90.00
_cell_angle_beta 90.00
_cell_angle_gamma 90.00
loop_
_atom_site_label
_atom_site_fract_x
_atom_site_fract_y
_atom_site_fract_z
Be1 0.120 0.120 0.120
Ag1 0.000 0.000 0.500
W1 0.250 0.250 0.750
```

energy relative to the elements = 208 meV per atom
final energy = -29.46 eV/f.u.

[3]
Here is a relaxed structure of TlHg4Sb from the Alexandria database. Energies are from PBE.

Geometry as CIF:
```
data_TlHg4Sb
_chemical_formula_sum 'Tl4 Hg16 Sb4'
_symmetry_space_group_name_H-M 'F -4 3 m'
_symmetry_Int_Tables_number 216
_symmetry_space_group_name_Hall 'F -4 2 3'
_cell_length_a 8.735
_cell_length_b 8.735
_cell_length_c 8.735
_cell_angle_alpha 90.00
_cell_angle_beta 90.00
_cell_angle_gamma 90.00
loop_
_atom_site_label
_atom_site_fract_x
_atom_site_fract_y
_atom_site_fract_z
Tl1 0.000 0.000 0.000
Hg1 0.125 0.125 0.625
Sb1 0.250 0.250 0.250
```

formation energy from raw total energies = 163 meV/atom
E above lowest polymorph = 115 meV/atom
final energy = -6.72 eV/f.u.

[4]
Here is a relaxed structure of TeSe2 from the Alexandria database. Energies are from PBE.

Geometry as CIF:
```
data_TeSe2
_chemical_formula_sum 'Te2 Se4'
_symmetry_space_group_name_H-M 'P 1'
_symmetry_Int_Tables_number 1
_cell_length_a 4.142
_cell_length_b 5.308
_cell_length_c 9.458
_cell_angle_alpha 74.79
_cell_angle_beta 77.90
_cell_angle_gamma 89.99
loop_
_symmetry_equiv_pos_as_xyz
'x,y,z'
loop_
_atom_site_label
_atom_site_fract_x
_atom_site_fract_y
_atom_site_fract_z
Te1 0.000 0.000 0.000
Te2 0.288 0.752 0.444
Se1 0.536 0.610 0.102
Se2 0.639 0.394 0.899
Se3 0.831 0.358 0.545
Se4 0.921 0.142 0.342
```

formation energy from raw total energies = -3 meV/atom
E above lowest polymorph = 12 meV/atom
final energy = -10.12 eV/f.u.

[5]
Here is a relaxed structure of Ta2BeNi from the Alexandria database. Energies are from PBE.

Geometry as CIF:
```
data_Ta2BeNi
_chemical_formula_sum 'Ta8 Be4 Ni4'
_symmetry_space_group_name_H-M 'F -4 3 m'
_symmetry_Int_Tables_number 216
_symmetry_space_group_name_Hall 'F -4 2 3'
_cell_length_a 6.171
_cell_length_b 6.171
_cell_length_c 6.171
_cell_angle_alpha 90.00
_cell_angle_beta 90.00
_cell_angle_gamma 90.00
loop_
_atom_site_label
_atom_site_fract_x
_atom_site_fract_y
_atom_site_fract_z
Ta1 0.000 0.000 0.000
Ta2 0.250 0.250 0.250
Be1 0.000 0.000 0.500
Ni1 0.250 0.250 0.750
```

energy relative to the elements = 387 meV per atom
final energy = -31.67 eV/f.u.

final energy of number 5 (Ta2BeNi)? -31.67 eV/f.u.